Entry 1:
## CoTcN (PBE-GGA)

Data for a relaxed CoTcN crystal.

Output
calculated volume = 10.36 Å³ per atom
ΔE_f (raw) = 0.4486 eV per atom
crystal system = tetragonal

a = 2.6556 Å, b = 2.6556 Å, c = 4.7921 Å
α = 106.09°, β = 106.09°, γ = 90.00°
Site moments in Bohr magnetons follow the coordinates.
Atoms (fractional coordinates):
Co (0.9403, 0.9403, 0.8805)  0.77
Tc (0.6465, 0.6465, 0.2930)  -0.10
N (0.2633, 0.2633, 0.5265)  0.02

---

Entry 2:
## LiAc3Tb3S8 (PBE-GGA)

Data for a relaxed LiAc3Tb3S8 crystal.

Output
calculated volume = 25.63 Å³ per atom
ΔE_f (raw) = -1.9748 eV per atom
crystal system = trigonal

a = 8.0747 Å, b = 8.0746 Å, c = 8.2521 Å
α = 119.29°, β = 90.00°, γ = 120.00°
Atoms (fractional coordinates):
Li (0.0000, 0.0000, 0.5000)
Ac (0.0000, 0.0000, 0.0000)
Ac (0.0000, 0.5000, 0.0000)
Ac (0.5000, 0.5000, 0.0000)
Tb (0.5000, 0.0000, 0.5000)
Tb (0.5000, 0.5000, 0.5000)
Tb (0.0000, 0.5000, 0.5000)
S (0.2590, 0.5181, 0.2771)
S (0.7410, 0.4819, 0.7229)
S (0.7586, 0.5171, 0.2757)
S (0.2414, 0.4829, 0.7243)
S (0.7585, 0.0172, 0.2757)
S (0.2415, 0.9828, 0.7243)
S (0.2588, 0.0172, 0.2757)
S (0.7412, 0.9828, 0.7243)

---

Entry 3:
## K2AsCl (PBE-GGA)

Data for a relaxed K2AsCl crystal.

Output
calculated volume = 31.47 Å³ per atom
ΔE_f (raw) = -0.8314 eV per atom
crystal system = orthorhombic

a = 9.6876 Å, b = 9.6876 Å, c = 9.6876 Å
α = 158.27°, β = 158.03°, γ = 31.10°
Atoms (fractional coordinates):
As (0.4437, 0.4437, 0.0000)
K (0.0681, 0.0681, 0.0000)
K (0.7888, 0.2888, 0.5000)
Cl (0.1993, 0.6993, 0.5000)

---

Entry 4:
## Na3HfBr7 (PBE-GGA)

Data for a relaxed Na3HfBr7 crystal.

Output
calculated volume = 37.52 Å³ per atom
ΔE_f (raw) = -1.4592 eV per atom
crystal system = monoclinic

a = 7.9186 Å, b = 7.9186 Å, c = 7.2578 Å
α = 76.78°, β = 76.78°, γ = 70.90°
Atoms (fractional coordinates):
Na (0.7634, 0.2195, 0.4901)
Na (0.6275, 0.6275, 0.9635)
Na (0.2195, 0.7634, 0.4901)
Hf (0.9904, 0.9904, 0.0057)
Br (0.1188, 0.1188, 0.2256)
Br (0.6667, 0.0719, 0.1963)
Br (0.9130, 0.3160, 0.7821)
Br (0.0719, 0.6667, 0.1963)
Br (0.5703, 0.5703, 0.3637)
Br (0.3160, 0.9130, 0.7821)
Br (0.8678, 0.8678, 0.7545)